[1]
An optimized crystal structure of Ho3Co3Ge8. Source: Alexandria, functional GGA-PBE.

Geometry as POSCAR:
```
Ho3Co3Ge8
1.0
8.979 -1.981 0.000
8.979 1.981 0.000
-3.019 0.000 7.133
Ho Co Ge
3 3 8
direct
0.000 0.000 0.000 Ho
0.252 0.252 0.307 Ho
0.748 0.748 0.693 Ho
0.000 0.000 0.500 Co
0.347 0.347 0.012 Co
0.653 0.653 0.988 Co
0.120 0.120 0.467 Ge
0.189 0.189 0.886 Ge
0.378 0.378 0.749 Ge
0.458 0.458 0.299 Ge
0.542 0.542 0.701 Ge
0.622 0.622 0.251 Ge
0.811 0.811 0.114 Ge
0.880 0.880 0.533 Ge
```

ΔE_f = -6.1 eV per formula unit

[2]
An optimized crystal structure of Mg2Ag2Cl7. Source: Alexandria, functional GGA-PBE.

Geometry as POSCAR:
```
Mg2Ag2Cl7
1.0
3.940 -5.937 0.000
3.940 5.937 0.000
-0.284 0.000 6.588
Mg Ag Cl
2 2 7
direct
0.216 0.216 0.111 Mg
0.784 0.784 0.889 Mg
0.195 0.805 0.500 Ag
0.805 0.195 0.500 Ag
0.064 0.430 0.276 Cl
0.086 0.086 0.766 Cl
0.430 0.064 0.276 Cl
0.500 0.500 0.000 Cl
0.570 0.936 0.724 Cl
0.914 0.914 0.234 Cl
0.936 0.570 0.724 Cl
```

Raw formation energy = -12.29 eV per formula unit

[3]
An optimized crystal structure of YBeHgRh2. Source: Alexandria, functional GGA-PBE.

Geometry as POSCAR:
```
YBeHgRh2
1.0
4.905 0.000 0.000
0.000 4.905 0.000
0.000 0.000 4.961
Y Be Hg Rh
1 1 1 2
direct
0.000 0.000 0.000 Y
0.000 0.000 0.500 Be
0.500 0.500 0.500 Hg
0.000 0.500 0.000 Rh
0.500 0.000 0.000 Rh
```

ΔE_f = 6.0 eV per formula unit

no.,M_tot (μB per atom)
1,0.000
2,0.000
3,0.000